# Co3Si, optimized geometry, DFT GGA-PBE
# calculated volume: 131.8 Å³ per cell
# crystal system: trigonal
# formation energy (no corrections): -0.090 eV/atom
data_Co3Si
_space_group_name_H-M_alt 'R -3 m'
_space_group_IT_number 166
_space_group_name_Hall '-R 3 2"'
_cell_length_a 2.5658
_cell_length_b 2.5658
_cell_length_c 23.1184
_cell_angle_alpha 90.00
_cell_angle_beta 90.00
_cell_angle_gamma 120.00
loop_
_atom_site_label
_atom_site_type_symbol
_atom_site_fract_x
_atom_site_fract_y
_atom_site_fract_z
_atom_site_occupancy
Co1 Co 0.0000 0.0000 0.0000 1
Co2 Co 0.0000 0.0000 0.2470 1
Si1 Si 0.0000 0.0000 0.5000 1